A plane-wave DFT calculation with PBE was carried out for a relaxed structure of Tb3GeI7.

The space group is P3m1 (No. 156) and the conventional cell measures 8.7736, 8.7736 and 7.4375 Å, with angles of 90.00, 90.00 and 120.00 degrees. Symmetry generates all atoms from Tb at (0.0093, 0.5047, 0.0000), Ge at (0.3333, 0.6667, 0.2097), I at (0.1704, 0.3407, 0.7562), I at (0.3384, 0.1692, 0.2278) and I at (0.6667, 0.3333, 0.7536).

The density of states at the Fermi level is 0.452 states/eV/atom. As for the crystal system: trigonal. The calculation puts the formation energy without anion corrections at -1.06 eV/atom.